[1]
Below is an optimized crystal structure of CaTc2Rh, with properties calculated at the PBE level.

Properties
energy relative to the elements	0.35	eV per atom
energy relative to the lowest polymorph listed for this composition	178	meV per atom

abc: 4.524 4.524 4.524
angles: 119.91 119.91 90.16
Positions (direct):
Ca: 0.000 0.000 0.000
Tc: 0.250 0.750 0.500
Tc: 0.500 0.500 0.000
Rh: 0.750 0.250 0.500

[2]
Below is an optimized crystal structure of RbLa2Pt, with properties calculated at the PBE level.

Properties
energy relative to the elements	0.05	eV per atom
energy relative to the lowest polymorph listed for this composition	183	meV per atom

abc: 5.475 5.475 5.475
angles: 60.00 60.00 60.00
Positions (direct):
Rb: 0.000 0.000 0.000
La: 0.250 0.250 0.250
La: 0.750 0.750 0.750
Pt: 0.500 0.500 0.500

[3]
Below is an optimized crystal structure of CaZrSi, with properties calculated at the PBE level.

Properties
formation energy from raw total energies	-0.181	eV/atom

abc: 6.752 6.752 6.752
angles: 153.92 148.39 41.42
Positions (direct):
Ca: 0.000 0.000 0.000
Zr: 0.275 0.275 0.000
Si: 0.659 0.659 0.000

[4]
Below is an optimized crystal structure of InHSe, with properties calculated at the PBE level.

Properties
uncorrected energy	-3.323	eV/atom

abc: 5.941 5.941 5.554
angles: 90.00 90.00 49.16
Positions (direct):
In: 0.000 0.000 0.000
In: 0.149 0.149 0.500
H: 0.463 0.463 0.408
H: 0.687 0.687 0.909
Se: 0.380 0.380 0.193
Se: 0.769 0.769 0.693

[5]
Below is an optimized crystal structure of Ac4CuPI2, with properties calculated at the PBE level.

Properties
formation energy from raw total energies	-0.921	eV/atom

abc: 7.912 4.371 8.632
angles: 90.00 106.74 90.00
Positions (direct):
Ac: 0.225 0.000 0.199
Ac: 0.274 0.500 0.806
Ac: 0.726 0.500 0.194
Ac: 0.775 0.000 0.801
Cu: 0.500 0.000 0.000
P: 0.000 0.500 0.000
I: 0.000 0.000 0.500
I: 0.500 0.500 0.500

[6]
Below is an optimized crystal structure of SmCuAuO4, with properties calculated at the PBE level.

Properties
formation energy from raw total energies	-1.249	eV/atom

abc: 7.241 7.241 7.241
angles: 128.91 118.94 83.57
Positions (direct):
Sm: 0.000 0.000 0.000
Sm: 0.500 0.000 0.500
Cu: 0.303 0.553 0.750
Cu: 0.697 0.447 0.250
Au: 0.000 0.000 0.500
Au: 0.000 0.500 0.000
O: 0.144 0.218 0.926
O: 0.208 0.782 0.426
O: 0.284 0.257 0.472
O: 0.284 0.812 0.028
O: 0.716 0.188 0.972
O: 0.716 0.743 0.528
O: 0.792 0.218 0.574
O: 0.856 0.782 0.074

[7]
Below is an optimized crystal structure of Na2Tl3Au, with properties calculated at the PBE level.

Properties
energy relative to the elements	-0.14	eV per atom

abc: 3.560 5.121 9.068
angles: 90.00 90.00 90.00
Positions (direct):
Na: 0.000 0.000 0.000
Na: 0.000 0.500 0.446
Tl: 0.500 0.000 0.613
Tl: 0.500 0.500 0.145
Tl: 0.500 0.500 0.801
Au: 0.500 0.000 0.294

[8]
Below is an optimized crystal structure of AcLaCdHg, with properties calculated at the PBE level.

Properties
energy relative to the elements	-0.39	eV per atom
energy relative to the lowest polymorph listed for this composition	5	meV per atom

abc: 5.646 5.646 5.646
angles: 60.00 60.00 60.00
Positions (direct):
Ac: 0.000 0.000 0.000
La: 0.500 0.500 0.500
Cd: 0.250 0.250 0.250
Hg: 0.750 0.750 0.750

[9]
Below is an optimized crystal structure of CdCoSeI2, with properties calculated at the PBE level.

Properties
formation energy from raw total energies	0.855	eV/atom

abc: 5.847 5.847 5.379
angles: 90.00 90.00 90.00
Positions (direct):
Cd: 0.000 0.000 0.000
Co: 0.500 0.500 0.000
Se: 0.000 0.000 0.500
I: 0.000 0.500 0.500
I: 0.500 0.000 0.500

[10]
Below is an optimized crystal structure of CrTcSb2, with properties calculated at the PBE level.

Properties
energy relative to the lowest polymorph listed for this composition	150	meV per atom
formation energy from raw total energies	0.276	eV/atom

abc: 3.259 4.621 4.634
angles: 90.00 90.00 90.00
Positions (direct):
Cr: 0.000 0.000 0.000
Tc: 0.000 0.500 0.500
Sb: 0.500 0.000 0.500
Sb: 0.500 0.500 0.000

[11]
Below is an optimized crystal structure of ScAl2Ag, with properties calculated at the PBE level.

Properties
energy relative to the elements	-0.35	eV per atom

abc: 4.170 4.170 4.115
angles: 90.00 90.00 90.00
Positions (direct):
Sc: 0.000 0.000 0.000
Al: 0.000 0.500 0.500
Al: 0.500 0.000 0.500
Ag: 0.500 0.500 0.000

[12]
Below is an optimized crystal structure of P2RuW, with properties calculated at the PBE level.

Properties
energy relative to the elements	-0.05	eV per atom

abc: 4.055 4.055 5.159
angles: 102.64 102.64 42.41
Positions (direct):
P: 0.249 0.249 0.249
P: 0.751 0.751 0.751
Ru: 0.500 0.500 0.000
W: 0.000 0.000 0.500

[13]
Below is an optimized crystal structure of Li2PHPd6, with properties calculated at the PBE level.

Properties
uncorrected energy	-4.799	eV/atom

abc: 5.944 5.944 5.944
angles: 122.09 117.75 90.18
Positions (direct):
Li: 0.244 0.244 0.000
Li: 0.756 0.756 0.000
P: 0.000 0.500 0.500
H: 0.500 0.000 0.500
Pd: 0.264 0.764 0.500
Pd: 0.271 0.243 0.514
Pd: 0.271 0.757 0.028
Pd: 0.729 0.243 0.972
Pd: 0.729 0.757 0.486
Pd: 0.736 0.236 0.500

[14]
Below is an optimized crystal structure of RbAc2AgS4, with properties calculated at the PBE level.

Properties
formation energy from raw total energies	-1.652	eV/atom

abc: 7.662 7.662 14.991
angles: 90.00 90.00 146.78
Positions (direct):
Rb: 0.111 0.889 0.750
Rb: 0.889 0.111 0.250
Ac: 0.367 0.633 0.563
Ac: 0.367 0.633 0.937
Ac: 0.633 0.367 0.063
Ac: 0.633 0.367 0.437
Ag: 0.162 0.838 0.250
Ag: 0.838 0.162 0.750
S: 0.000 0.000 0.000
S: 0.000 0.000 0.500
S: 0.261 0.739 0.107
S: 0.261 0.739 0.393
S: 0.434 0.566 0.750
S: 0.566 0.434 0.250
S: 0.739 0.261 0.607
S: 0.739 0.261 0.893

[15]
Below is an optimized crystal structure of Np2TaO8, with properties calculated at the PBE level.

Properties
formation energy from raw total energies	-2.606	eV/atom

abc: 5.933 5.933 6.661
angles: 100.04 100.04 36.97
Positions (direct):
Np: 0.241 0.241 0.236
Np: 0.759 0.759 0.764
Ta: 0.000 0.000 0.500
O: 0.061 0.061 0.235
O: 0.194 0.194 0.577
O: 0.306 0.306 0.938
O: 0.429 0.429 0.354
O: 0.571 0.571 0.646
O: 0.694 0.694 0.062
O: 0.806 0.806 0.423
O: 0.939 0.939 0.765

[16]
Below is an optimized crystal structure of BaLa2Cd, with properties calculated at the PBE level.

Properties
energy relative to the elements	-0.11	eV per atom
energy relative to the lowest polymorph listed for this composition	0	meV per atom

abc: 3.971 3.982 9.711
angles: 90.00 90.00 90.00
Positions (direct):
Ba: 0.000 0.000 0.000
La: 0.000 0.000 0.432
La: 0.500 0.500 0.671
Cd: 0.500 0.500 0.242

[17]
Below is an optimized crystal structure of Hf8MgCo2, with properties calculated at the PBE level.

Properties
energy relative to the elements	0.01	eV per atom

abc: 7.305 7.305 5.701
angles: 96.12 96.12 49.39
Positions (direct):
Hf: 0.085 0.085 0.390
Hf: 0.116 0.636 0.100
Hf: 0.289 0.289 0.631
Hf: 0.364 0.884 0.900
Hf: 0.636 0.116 0.100
Hf: 0.711 0.711 0.369
Hf: 0.884 0.364 0.900
Hf: 0.915 0.915 0.610
Mg: 0.500 0.500 0.500
Co: 0.237 0.237 0.181
Co: 0.763 0.763 0.819

[18]
Below is an optimized crystal structure of RbPb2Cl8, with properties calculated at the PBE level.

Properties
formation energy from raw total energies	-0.896	eV/atom

abc: 7.746 7.746 8.797
angles: 90.00 90.00 120.00
Positions (direct):
Rb: 0.000 0.000 0.000
Pb: 0.333 0.667 0.224
Pb: 0.667 0.333 0.776
Cl: 0.155 0.310 0.306
Cl: 0.155 0.845 0.306
Cl: 0.310 0.155 0.694
Cl: 0.333 0.667 0.939
Cl: 0.667 0.333 0.061
Cl: 0.690 0.845 0.306
Cl: 0.845 0.155 0.694
Cl: 0.845 0.690 0.694

[19]
Below is an optimized crystal structure of TbTlCuAu, with properties calculated at the PBE level.

Properties
energy relative to the elements	-0.35	eV per atom

abc: 4.900 4.900 4.900
angles: 60.00 60.00 60.00
Positions (direct):
Tb: 0.000 0.000 0.000
Tl: 0.500 0.500 0.500
Cu: 0.750 0.750 0.750
Au: 0.250 0.250 0.250

[20]
Below is an optimized crystal structure of Er4SbRh2, with properties calculated at the PBE level.

Properties
formation energy from raw total energies	-0.790	eV/atom

abc: 6.885 6.939 8.436
angles: 107.94 107.84 104.44
Positions (direct):
Er: 0.000 0.000 0.000
Er: 0.050 0.727 0.596
Er: 0.115 0.291 0.726
Er: 0.256 0.605 0.179
Er: 0.512 0.563 0.587
Er: 0.591 0.142 0.742
Er: 0.659 0.163 0.324
Er: 0.740 0.593 0.145
Sb: 0.189 0.043 0.393
Sb: 0.453 0.812 0.932
Rh: 0.045 0.369 0.325
Rh: 0.384 0.210 0.000
Rh: 0.722 0.879 0.497
Rh: 0.892 0.546 0.830